## MnRu2C (GGA-PBE)

Data for MnRu2C after structural relaxation.

The calculation puts the total energy at -135.95 eV for the cell shown. Its crystal system is tetragonal.

The structure belongs to space group I-42d (No. 122); the cell edges are 4.935, 4.935 and 9.467 Å and the angles 90.00°, 90.00° and 90.00°. The asymmetric unit holds Mn at (0.000, 0.000, 0.000), Ru at (0.197, 0.250, 0.625) and C at (0.000, 0.000, 0.500).